# PBE Ca3As2Rh9Pb, relaxed
data_Ca3As2Rh9Pb
_chemical_formula_sum 'Ca3 As2 Rh9 Pb1'
_cell_length_a 6.2910
_cell_length_b 6.2910
_cell_length_c 9.4794
_cell_angle_alpha 90.00
_cell_angle_beta 90.00
_cell_angle_gamma 120.00
_space_group_name_H-M_alt 'P -3 m 1'
_space_group_IT_number 164
_space_group_name_Hall '-P 3 2"'
loop_
_atom_site_label
_atom_site_type_symbol
_atom_site_fract_x
_atom_site_fract_y
_atom_site_fract_z
_atom_site_occupancy
Ca1 Ca 0.0000 0.0000 0.0000 1
Ca2 Ca 0.3333 0.6667 0.7274 1
As1 As 0.3333 0.6667 0.1659 1
Rh1 Rh 0.0000 0.5000 0.0000 1
Rh2 Rh 0.1394 0.2787 0.2595 1
Pb1 Pb 0.0000 0.0000 0.5000 1
# Volume ... 21.7 Å³ per atom
# M_tot ... 0.00 Bohr magnetons per cell
# ΔE_f ... -2.7 eV/f.u.